(1)
A plane-wave DFT calculation with PBE was carried out for a relaxed structure of CsCeHgSe3.

```
12
Lattice="-4.166 0.640 -0.962 -0.592 -8.750 -3.254 -2.460 0.247 10.824" Properties=species:S:1:pos:R:3 pbc="T T T"
Hg -2.509 -0.644 5.581
Hg -4.710 -7.219 1.027
Cs -1.849 -1.853 1.920
Cs -5.370 -6.010 4.688
Se -4.729 -2.032 4.560
Se -2.490 -5.831 2.048
Se -3.521 -4.437 7.445
Se -3.698 -3.426 -0.837
Se -3.144 -0.640 8.335
Se -4.075 -7.223 -1.726
Ce -5.401 -2.200 7.359
Ce -1.818 -5.663 -0.750
```

Summary:
The energy above the most stable polymorph in this dataset is 0.0332 eV per atom. Its space group is P2_1/m, No. 11. The density of states at the Fermi level is 8.34 states/eV per cell. Its total moment is 0.712 Bohr magnetons per cell.

(2)
A plane-wave DFT calculation with PBE was carried out for a relaxed structure of Cs2CeHg2Te4.

```
9
Lattice="5.044 0.000 0.000 0.000 8.815 0.426 -2.522 -3.092 8.054" Properties=species:S:1:pos:R:3 pbc="T T T"
Hg 2.522 7.751 3.093
Hg 0.000 -2.027 5.388
Cs 0.000 4.302 2.404
Cs 2.522 1.421 6.076
Te 0.000 -0.966 8.133
Te 2.522 6.690 0.347
Te 0.000 0.287 3.254
Te 2.522 5.437 5.226
Ce 0.000 0.000 0.000
```

Summary:
Its space group is C2/m, No. 12. The density of states at the Fermi level is 6.79 states/eV per cell. Its total moment is 1.060 Bohr magnetons per cell.

Number 1: formation energy from raw total energies -1.18 eV per atom, total energy -0.151 hartree per atom. Number 2: formation energy from raw total energies -0.81 eV per atom, total energy -0.115 hartree per atom.